Arrangement one

VASP calculation (PBE-GGA) on a geometry-optimized Hf3SnW structure.

a = 8.5623 Å, b = 8.5623 Å, c = 7.3375 Å
α = 101.65°, β = 101.65°, γ = 23.08°
Element x y z (fractional)
Hf: 0.1035 0.1035 0.0230
Hf: 0.1046 0.1046 0.5723
Hf: 0.2938 0.2938 0.6639
Hf: 0.7062 0.7062 0.3361
Hf: 0.8954 0.8954 0.4277
Hf: 0.8965 0.8965 0.9770
Sn: 0.4852 0.4852 0.7428
Sn: 0.5148 0.5148 0.2572
W: 0.2984 0.2984 0.1407
W: 0.7016 0.7016 0.8593

=====

Arrangement two

VASP calculation (PBE-GGA) on a geometry-optimized Hf3SnW structure.

a = 5.0982 Å, b = 5.0982 Å, c = 5.0982 Å
α = 90.00°, β = 90.00°, γ = 90.00°
Element x y z (fractional)
Hf: 0.0000 0.0000 0.5000
Hf: 0.0000 0.5000 0.0000
Hf: 0.5000 0.0000 0.0000
Sn: 0.0000 0.0000 0.0000
W: 0.5000 0.5000 0.5000

=====

Arrangement three

VASP calculation (PBE-GGA) on a geometry-optimized Hf3SnW structure.

a = 5.0593 Å, b = 5.0593 Å, c = 5.0593 Å
α = 90.00°, β = 90.00°, γ = 90.00°
Element x y z (fractional)
Hf: 0.0000 0.0000 0.5000
Hf: 0.0000 0.5000 0.0000
Hf: 0.5000 0.0000 0.0000
Sn: 0.5000 0.5000 0.5000
W: 0.0000 0.0000 0.0000

=====

Stability check: which of them is least stable? arrangement two.

=====

Arrangement one

VASP calculation (PBE-GGA) on a geometry-optimized HfSn2W structure.

a = 10.7350 Å, b = 10.7350 Å, c = 10.7350 Å
α = 157.73°, β = 157.73°, γ = 31.70°
Element x y z (fractional)
Hf: 0.0000 0.0000 0.0000
Hf: 0.7500 0.2500 0.5000
Sn: 0.1281 0.6250 0.0031
Sn: 0.3750 0.3781 0.5031
Sn: 0.6219 0.1250 0.9969
Sn: 0.8750 0.8719 0.4969
W: 0.2500 0.7500 0.5000
W: 0.5000 0.5000 0.0000

=====

Arrangement two

VASP calculation (PBE-GGA) on a geometry-optimized HfSn2W structure.

a = 4.8316 Å, b = 4.8316 Å, c = 4.8316 Å
α = 60.00°, β = 60.00°, γ = 60.00°
Element x y z (fractional)
Hf: 0.0000 0.0000 0.0000
Sn: 0.2500 0.2500 0.2500
Sn: 0.7500 0.7500 0.7500
W: 0.5000 0.5000 0.5000

=====

Stability check: which of them is least stable? arrangement one.